(A)
# FeSbPCl2

A geometry-optimized FeSbPCl2 structure (PBE-GGA, Alexandria).

Calculated values
Symmetry: P4/mmm, No. 123
Calculated density in kg/m³: 4507
Total moment in μB per atom: 0.54

Cell lengths 4.519, 5.043, 4.519 Å; angles 90.00, 90.00, 90.00 degrees
Each line ends with the local moment (μB).
Fractional coordinates of all 5 atoms:
Fe1 0.000 0.000 0.000  -2.72
Cl1 0.500 0.000 0.000  -0.08
P1 0.000 0.500 0.000  -0.04
Sb1 0.500 0.500 0.500  0.16
Cl2 0.000 0.000 0.500  -0.05

(B)
# FeSbPCl2

A geometry-optimized FeSbPCl2 structure (PBE-GGA, Alexandria).

Calculated values
Symmetry: P4/mmm, No. 123
Calculated density in kg/m³: 3289
Total moment in μB per atom: 0.78

Cell lengths 5.131, 5.131, 5.359 Å; angles 90.00, 90.00, 90.00 degrees
Each line ends with the local moment (μB).
Fractional coordinates of all 5 atoms:
Cl1 0.500 0.000 0.000  0.01
P1 0.000 0.000 0.500  0.00
Cl2 0.000 0.500 0.000  0.01
Sb1 0.000 0.000 0.000  0.00
Fe1 0.500 0.500 0.500  3.45

Pick (A): it beats the second-best structure by 53.0 kJ/mol of atoms.

(A)
# FeSiPCl2

A geometry-optimized FeSiPCl2 structure (PBE-GGA, Alexandria).

Calculated values
Symmetry: P4/mmm, No. 123
Calculated density in kg/m³: 3021
Total moment in μB per atom: 0.76

Cell lengths 4.574, 4.574, 4.882 Å; angles 90.00, 90.00, 90.00 degrees
Each line ends with the local moment (μB).
Fractional coordinates of all 5 atoms:
P1 0.000 0.000 0.500  0.04
Fe1 0.500 0.500 0.500  3.43
Si1 0.000 0.000 0.000  -0.01
Cl1 0.000 0.500 0.000  0.03
Cl2 0.500 0.000 0.000  0.03

(B)
# FeSiPCl2

A geometry-optimized FeSiPCl2 structure (PBE-GGA, Alexandria).

Calculated values
Symmetry: P4/mmm, No. 123
Calculated density in kg/m³: 3297
Total moment in μB per atom: 0.00

Cell lengths 4.587, 4.587, 4.448 Å; angles 90.00, 90.00, 90.00 degrees
Fractional coordinates of all 5 atoms:
Cl1 0.500 0.000 0.000
Fe1 0.000 0.000 0.000
Si1 0.500 0.500 0.500
Cl2 0.000 0.500 0.000
P1 0.000 0.000 0.500

Pick (B): it beats the second-best structure by 5.8 kJ/mol of atoms.

(A)
# FeSnP2Cl

A geometry-optimized FeSnP2Cl structure (PBE-GGA, Alexandria).

Calculated values
Symmetry: P4/mmm, No. 123
Calculated density in kg/m³: 3937
Total moment in μB per atom: 0.78

Cell lengths 4.884, 4.884, 4.809 Å; angles 90.00, 90.00, 90.00 degrees
Each line ends with the local moment (μB).
Fractional coordinates of all 5 atoms:
P1 0.000 0.500 0.000  0.06
Cl1 0.000 0.000 0.500  0.05
Sn1 0.000 0.000 0.000  -0.01
P2 0.500 0.000 0.000  0.06
Fe1 0.500 0.500 0.500  3.42

(B)
# FeSnP2Cl

A geometry-optimized FeSnP2Cl structure (PBE-GGA, Alexandria).

Calculated values
Symmetry: P4/mmm, No. 123
Calculated density in kg/m³: 4782
Total moment in μB per atom: 0.01

Cell lengths 4.287, 4.287, 5.139 Å; angles 90.00, 90.00, 90.00 degrees
Fractional coordinates of all 5 atoms:
P1 0.500 0.000 0.000
Fe1 0.000 0.000 0.000
Sn1 0.500 0.500 0.500
P2 0.000 0.500 0.000
Cl1 0.000 0.000 0.500

Pick (B): it beats the second-best structure by 90.4 kJ/mol of atoms.

(A)
# SrFeP2Cl

A geometry-optimized SrFeP2Cl structure (PBE-GGA, Alexandria).

Calculated values
Symmetry: P4/mmm, No. 123
Calculated density in kg/m³: 2237
Total moment in μB per atom: 0.29

Cell lengths 5.778, 5.778, 5.357 Å; angles 90.00, 90.00, 90.00 degrees
Each line ends with the local moment (μB).
Fractional coordinates of all 5 atoms:
Fe1 0.500 0.500 0.500  3.52
Cl1 0.000 0.000 0.500  -0.06
P1 0.000 0.500 0.000  -0.50
Sr1 0.000 0.000 0.000  -0.03
P2 0.500 0.000 0.000  -0.50

(B)
# SrFeP2Cl

A geometry-optimized SrFeP2Cl structure (PBE-GGA, Alexandria).

Calculated values
Symmetry: P4/mmm, No. 123
Calculated density in kg/m³: 3668
Total moment in μB per atom: 0.59

Cell lengths 4.366, 4.366, 5.719 Å; angles 90.00, 90.00, 90.00 degrees
Each line ends with the local moment (μB).
Fractional coordinates of all 5 atoms:
P1 0.000 0.500 0.000  0.07
P2 0.500 0.000 0.000  0.07
Fe1 0.000 0.000 0.000  2.29
Cl1 0.000 0.000 0.500  0.07
Sr1 0.500 0.500 0.500  0.03

Pick (B): it beats the second-best structure by 155.7 kJ/mol of atoms.